No. 1
Density functional theory data (GGA-PBEsol) for a geometry-optimized CaMgCdTc2 structure.

Structure (POSCAR):
```
CaMgCdTc2
1.0
5.0087 0.0000 0.0000
0.0000 5.0087 0.0000
0.0000 0.0000 5.2369
Ca Mg Cd Tc
1 1 1 2
direct
0.0000 0.0000 0.0000
0.5000 0.5000 0.0000
0.0000 0.0000 0.5000
0.0000 0.5000 0.5000
0.5000 0.0000 0.5000
```

Calculated values
DFT formation energy = 1.660 eV/atom
energy = -3.856 eV/atom
crystal system = tetragonal
size of the total moment = 4.4 μB/cell



No. 2
Density functional theory data (GGA-PBEsol) for a geometry-optimized CaYMgCd2 structure.

Structure (POSCAR):
```
CaYMgCd2
1.0
5.1632 0.0000 0.0000
0.0000 5.1632 0.0000
0.0000 0.0000 5.4868
Ca Y Mg Cd
1 1 1 2
direct
0.0000 0.0000 0.0000
0.5000 0.5000 0.0000
0.5000 0.5000 0.5000
0.0000 0.5000 0.5000
0.5000 0.0000 0.5000
```

Calculated values
DFT formation energy = 0.303 eV/atom
energy = -2.311 eV/atom
crystal system = tetragonal
size of the total moment = 0.0 μB/cell



No. 3
Density functional theory data (GGA-PBEsol) for a geometry-optimized CaMn2Cd structure.

Structure (POSCAR):
```
CaMn2Cd
1.0
0.0000 3.4052 3.4052
3.4052 0.0000 3.4052
3.4052 3.4052 0.0000
Ca Mn Cd
1 2 1
direct
0.0000 0.0000 0.0000
0.2500 0.2500 0.2500
0.5000 0.5000 0.5000
0.7500 0.7500 0.7500
```

Calculated values
DFT formation energy = 0.554 eV/atom
energy = -5.159 eV/atom
crystal system = cubic
size of the total moment = 7.7 μB/cell



Q: Which value of energy does entry 3 give?
A: -5.159 eV/atom



Q: size of the total moment of number 1 (CaMgCdTc2)?
A: 4.4 μB/cell